A plane-wave DFT calculation with PBE-GGA was carried out for a relaxed structure of AcSeS2.

```
AcSeS2
1.0
4.528 0.000 0.000
0.000 4.311 -1.361
0.000 -1.271 10.998
Ac Se S
2 2 4
Direct
0.750 0.944 0.694
0.250 0.056 0.306
0.250 0.370 0.621
0.750 0.630 0.379
0.750 0.653 0.903
0.250 0.347 0.097
0.250 0.152 0.903
0.750 0.848 0.097
```

ΔE to the lowest computed polymorph: 0.0 meV per atom
Formation energy without anion corrections: -110.9 kJ/mol of atoms
Density of states at the Fermi level: 0.144 states/eV per atom

A plane-wave DFT calculation with PBE-GGA was carried out for a relaxed structure of AcSeS2.

```
AcSeS2
1.0
-3.135 1.553 3.000
-2.080 -2.932 2.884
3.807 0.710 7.150
Ac S Se
1 2 1
Direct
0.500 0.500 0.500
0.107 0.107 0.679
0.893 0.893 0.321
0.000 0.000 0.000
```

ΔE to the lowest computed polymorph: 133.7 meV per atom
Formation energy without anion corrections: -98.0 kJ/mol of atoms
Density of states at the Fermi level: 0.760 states/eV per atom

A plane-wave DFT calculation with PBE-GGA was carried out for a relaxed structure of AcSe2S6.

```
AcSe2S6
1.0
-5.752 4.158 -2.870
5.053 -3.525 -5.024
-2.515 -3.520 -0.059
Ac Se S
1 2 6
Direct
0.500 0.000 0.000
0.000 0.500 0.672
0.500 0.500 0.328
0.730 0.460 0.000
0.314 0.150 0.542
0.836 0.150 0.458
0.270 0.540 0.000
0.686 0.850 0.542
0.164 0.850 0.458
```

Formation energy without anion corrections: -27.8 kJ/mol of atoms
Density of states at the Fermi level: 0.474 states/eV per atom

A plane-wave DFT calculation with PBE-GGA was carried out for a relaxed structure of Ac6SeS5.

```
Ac6SeS5
1.0
7.377 -0.121 -1.394
-3.991 6.205 -1.394
0.142 0.254 7.504
Ac S Se
6 5 1
Direct
0.425 0.085 0.256
0.915 0.575 0.744
0.255 0.255 0.745
0.745 0.745 0.255
0.085 0.425 0.256
0.575 0.915 0.744
0.836 0.164 0.500
0.667 0.333 0.000
0.500 0.500 0.500
0.333 0.667 0.000
0.164 0.836 0.500
0.000 0.000 0.000
```

Formation energy without anion corrections: -191.6 kJ/mol of atoms
Density of states at the Fermi level: 0.489 states/eV per atom

A plane-wave DFT calculation with PBE-GGA was carried out for a relaxed structure of Ac4Se3S.

```
Ac4Se3S
1.0
-3.829 -0.779 2.031
-3.438 -0.882 -6.821
2.658 -6.804 2.399
Ac S Se
4 1 3
Direct
0.000 0.237 0.237
0.500 0.757 0.243
0.000 0.763 0.763
0.500 0.243 0.757
0.500 0.000 0.000
0.000 0.000 0.500
0.500 0.500 0.500
0.000 0.500 0.000
```

ΔE to the lowest computed polymorph: 0.0 meV per atom
Formation energy without anion corrections: -183.3 kJ/mol of atoms
Density of states at the Fermi level: 0.531 states/eV per atom

A plane-wave DFT calculation with PBE-GGA was carried out for a relaxed structure of AcSeS3.

```
AcSeS3
1.0
6.538 0.000 0.000
0.000 8.323 0.000
0.000 0.000 9.224
Ac Se S
4 4 12
Direct
0.059 0.113 0.727
0.441 0.613 0.727
0.559 0.387 0.227
0.941 0.887 0.227
0.476 0.001 0.000
0.524 0.999 0.500
0.024 0.501 0.000
0.976 0.499 0.500
0.817 0.160 0.433
0.811 0.166 0.027
0.183 0.840 0.933
0.189 0.834 0.527
0.311 0.334 0.527
0.643 0.942 0.724
0.689 0.666 0.027
0.857 0.442 0.724
0.683 0.660 0.433
0.317 0.340 0.933
0.143 0.558 0.224
0.357 0.058 0.224
```

ΔE to the lowest computed polymorph: 0.0 meV per atom
Formation energy without anion corrections: -90.4 kJ/mol of atoms
Density of states at the Fermi level: 0.329 states/eV per atom

What did the first record say?
A plane-wave DFT calculation with PBE-GGA was carried out for a relaxed structure of AcSeS2.

```
AcSeS2
1.0
4.528 0.000 0.000
0.000 4.311 -1.361
0.000 -1.271 10.998
Ac Se S
2 2 4
Direct
0.750 0.944 0.694
0.250 0.056 0.306
0.250 0.370 0.621
0.750 0.630 0.379
0.750 0.653 0.903
0.250 0.347 0.097
0.250 0.152 0.903
0.750 0.848 0.097
```

ΔE to the lowest computed polymorph: 0.0 meV per atom
Formation energy without anion corrections: -110.9 kJ/mol of atoms
Density of states at the Fermi level: 0.144 states/eV per atom

- Which formula does entry 2 have?
  AcSeS2